Record 1
The following is a PBE-GGA calculation of an optimized crystal structure of SrTbRh4, from Alexandria via LeMat-Bulk.

Results
space-group type	F-43m (216)
raw total energy	-6.45	eV/atom
formation energy from the elements	-0.496	eV/atom

extended XYZ file:
```
6
Lattice="0.000 3.825 3.825 3.825 0.000 3.825 3.825 3.825 0.000" Properties=species:S:1:pos:R:3 pbc="T T T"
Sr 0.000 0.000 0.000
Tb 5.738 5.738 5.738
Rh 2.871 2.871 2.871
Rh 4.779 4.779 2.871
Rh 4.779 2.871 4.779
Rh 2.871 4.779 4.779
```

Record 2
The following is a PBE-GGA calculation of an optimized crystal structure of ScUTe4, from Alexandria via LeMat-Bulk.

Results
formation energy without anion corrections	-0.70	eV/atom
space-group type	P2_1/c (14)
offset from the most stable computed form	0.61	eV/f.u.
raw total energy	-5.73	eV/atom

extended XYZ file:
```
12
Lattice="8.441 0.000 0.000 0.000 6.763 0.000 -4.134 0.000 7.284" Properties=species:S:1:pos:R:3 pbc="T T T"
Sc 0.000 0.000 0.000
Sc -2.067 3.381 3.642
U 4.221 0.000 0.000
U 2.153 3.381 3.642
Te -2.050 1.655 6.103
Te 0.017 1.726 2.461
Te 2.057 5.036 1.096
Te -0.010 5.108 4.738
Te 4.317 1.655 2.546
Te 2.250 1.726 6.188
Te 4.290 5.036 4.823
Te 6.357 5.108 1.181
```

Among the records above, which one has the highest raw total energy? ScUTe4